Computed, not measured: a relaxed KTeIr2 crystal at the PBE-GGA level of DFT.

total magnetization: 0.00 μB per cell
ΔE_f (raw): 88 kJ/mol of atoms
E_tot: -18.29 eV/cell
symmetry: Cmmm (65)

```
4
Lattice="5.1559 -0.0509 0.0000 -1.5110 4.9297 0.0000 0.0000 0.0000 3.0758" Properties=species:S:1:pos:R:3 pbc="T T T"
Ir 1.8224 2.4394 0.0000
Ir 0.0000 0.0000 0.0000
K 2.5779 -0.0255 1.5379
Te -0.7555 2.4649 1.5379
```

=====

Computed, not measured: a relaxed InAsRhBr2 crystal at the PBE-GGA level of DFT.

total magnetization: 0.00 μB per cell
ΔE_f (raw): -6 kJ/mol of atoms
E_tot: -18.42 eV/cell
energy above the lowest structure with this stoichiometry: 0 meV per atom
symmetry: P4/mmm (123)

```
5
Lattice="-0.2739 3.2240 -4.3723 -5.0437 -1.7771 -0.9944 -1.7190 3.4112 2.6230" Properties=species:S:1:pos:R:3 pbc="T T T"
As -0.8595 1.7056 1.3115
In -3.5184 2.4291 -1.3718
Rh 0.0000 0.0000 0.0000
Br -0.1370 1.6120 -2.1861
Br -2.5219 -0.8886 -0.4972
```

=====

Computed, not measured: a relaxed TlIr2Os crystal at the PBE-GGA level of DFT.

total magnetization: 0.00 μB per cell
E_tot: -29.83 eV/cell
energy above the lowest structure with this stoichiometry: 0 meV per atom
symmetry: P4/mmm (123)

```
4
Lattice="-2.4351 0.3339 1.4220 -1.4426 -0.9831 -2.2396 0.6564 -7.5765 2.9032" Properties=species:S:1:pos:R:3 pbc="T T T"
Os -1.7747 -2.2187 0.3170
Tl -1.4465 -6.0070 1.7686
Ir 0.3093 -3.5704 1.3681
Ir 0.0189 -0.2178 0.0835
```

=====

Computed, not measured: a relaxed TcTe2PdN crystal at the PBE-GGA level of DFT.

total magnetization: 0.00 μB per cell
ΔE_f (raw): 34 kJ/mol of atoms
E_tot: -28.41 eV/cell
energy above the lowest structure with this stoichiometry: 0 meV per atom
symmetry: P4/mmm (123)

```
5
Lattice="5.3361 0.0000 0.0000 0.0000 5.3361 0.0000 0.0000 0.0000 3.6766" Properties=species:S:1:pos:R:3 pbc="T T T"
Te 2.6680 0.0000 0.0000
Te 0.0000 2.6680 0.0000
Pd 2.6680 2.6680 1.8383
Tc 0.0000 0.0000 0.0000
N 0.0000 0.0000 1.8383
```

=====

Computed, not measured: a relaxed BaInCo2 crystal at the PBE-GGA level of DFT.

total magnetization: 1.40 μB per cell
E_tot: -15.73 eV/cell
symmetry: I-4m2 (119)

```
4
Lattice="5.9010 0.0226 0.0000 3.1638 4.9813 0.0000 -4.5324 -2.5019 2.8320" Properties=species:S:1:pos:R:3 pbc="T T T"
Co 0.0000 0.0000 0.0000
Co 1.5819 2.4906 1.4160
Ba 2.9505 0.0113 1.4160
In 4.5324 2.5019 0.0000
```

=====

Computed, not measured: a relaxed CsSrZr3 crystal at the PBE-GGA level of DFT.

total magnetization: 3.20 μB per cell
E_tot: -18.57 eV/cell
energy above the lowest structure with this stoichiometry: 291 meV per atom
symmetry: Pm-3m (221)

```
5
Lattice="5.6550 0.0000 0.0000 0.0000 5.6550 0.0000 0.0000 0.0000 5.6550" Properties=species:S:1:pos:R:3 pbc="T T T"
Cs 2.8275 2.8275 2.8275
Zr 0.0000 0.0000 2.8275
Zr 2.8275 0.0000 0.0000
Zr 0.0000 2.8275 0.0000
Sr 0.0000 0.0000 0.0000
```

=====

What is the total magnetization in the first record? 0.00 μB per cell